TlTe2Pd3 | PBE | relaxed

Cell: 16.0460 4.1790 9.2790 Å, 90.00 111.33 90.00°
Last column: nearest neighbours and their distance in Å.
Space group C2/m (No. 12)
Symmetry-distinct sites (fractional):
Tl 0.1460 0.0000 0.0095  7 Te 3.48-3.82, 3 Pd 3.82-3.87
Te 0.0297 0.5000 0.1991  4 Pd 2.67-2.71
Te 0.1892 0.0000 0.6668  6 Pd 2.65-2.87
Pd 0.0486 0.0000 0.3883  3 Te 2.67-2.74, 4 Pd 2.88-2.91
Pd 0.0801 0.5000 0.6400  3 Te 2.68-2.69, 4 Pd 2.81-2.91
Pd 0.1830 0.5000 0.4509  4 Te 2.65-2.87, 5 Pd 2.81-2.91

Values from the calculation:
Formation energy (no corrections)   -0.284 eV/atom
Spin magnetization   0.00 μB/f.u.
Energy   -4.322 eV/atom
Excess energy over the best structure of this formula in the dataset   0.00 eV/f.u.